The following is a DFT calculation (PBE) of a relaxed La2ZrSi crystal.

The calculation puts the uncorrected formation energy at 0.03 eV per formula unit. For the total energy, the calculation gives -23.8 eV per formula unit.

It has space group F-43m (No. 216), with a = 7.362 Å, b = 7.362 Å, c = 7.362 Å, α = 90.00°, β = 90.00° and γ = 90.00°. The distinct sites, in fractional coordinates, are La at (0.000, 0.000, 0.000), La at (0.250, 0.250, 0.250), Zr at (0.250, 0.250, 0.750) and Si at (0.000, 0.000, 0.500).

***

The following is a DFT calculation (PBE) of a relaxed La2ZrSi crystal.

The calculation puts the uncorrected formation energy at -0.98 eV per formula unit. For the total energy, the calculation gives -24.8 eV per formula unit.

It has space group Cm (No. 8), with a = 11.815 Å, b = 3.857 Å, c = 5.280 Å, α = 90.00°, β = 114.80° and γ = 90.00°. The distinct sites, in fractional coordinates, are La at (0.000, 0.000, 0.000), La at (0.201, 0.000, 0.653), Zr at (0.407, 0.000, 0.402) and Si at (0.234, 0.500, 0.172).